[1]
Computed, not measured: crystalline PuNpTi at its relaxed geometry at the PBE level of DFT.

It has space group C2/m (No. 12), with a = 10.211 Å, b = 4.522 Å, c = 4.729 Å, α = 90.00°, β = 92.01° and γ = 90.00°. The asymmetric unit holds Pu at (0.122, 0.000, 0.178), Np at (0.243, 0.500, 0.259) and Ti at (0.064, 0.500, 0.752).

As for the formation energy: 0.45 eV/f.u.


[2]
Computed, not measured: crystalline KUO4 at its relaxed geometry at the PBE level of DFT.

It has space group P4/mmm (No. 123), with a = 3.670 Å, b = 3.670 Å, c = 6.535 Å, α = 90.00°, β = 90.00° and γ = 90.00°. The asymmetric unit holds K at (0.000, 0.000, 0.000), U at (0.500, 0.500, 0.500) and O at (0.000, 0.500, 0.312).

The value obtained for the formation energy without anion corrections is -2359 meV per atom.


[3]
Computed, not measured: crystalline Ga4SnHg at its relaxed geometry at the PBE level of DFT.

It has space group P6/mmm (No. 191), with a = 4.9390 Å, b = 4.9390 Å, c = 6.2499 Å, α = 90.00°, β = 90.00° and γ = 120.00°. The asymmetric unit holds Ga at (0.3333, 0.6667, 0.2425), Sn at (0.0000, 0.0000, 0.0000) and Hg at (0.0000, 0.0000, 0.5000).

As for the formation energy: 0.39 eV/f.u.


[4]
Computed, not measured: crystalline Cs2Rb3Hg4 at its relaxed geometry at the PBE level of DFT.

It has space group P2_1/c (No. 14), with a = 10.006 Å, b = 9.945 Å, c = 9.767 Å, α = 90.00°, β = 106.17° and γ = 90.00°. The asymmetric unit holds Cs at (0.195, 0.174, 0.081), Rb at (0.245, 0.679, 0.253), Rb at (0.500, 0.000, 0.500), Hg at (0.078, 0.529, 0.887) and Hg at (0.496, 0.111, 0.887).

As for the formation energy: -1.96 eV/f.u.


[5]
Computed, not measured: crystalline CsPuSc2O8 at its relaxed geometry at the PBE level of DFT.

It has space group C2/m (No. 12), with a = 7.179 Å, b = 7.037 Å, c = 7.464 Å, α = 90.00°, β = 90.14° and γ = 90.00°. The asymmetric unit holds Cs at (0.000, 0.000, 0.000), Pu at (0.000, 0.000, 0.500), Sc at (0.000, 0.500, 0.291), O at (0.001, 0.198, 0.681), O at (0.104, 0.500, 0.001) and O at (0.190, 0.500, 0.500).

The value obtained for the formation energy without anion corrections is -2408 meV per atom.


[6]
Computed, not measured: crystalline Y2CrSnI at its relaxed geometry at the PBE level of DFT.

It has space group P4/mmm (No. 123), with a = 5.453 Å, b = 5.453 Å, c = 4.753 Å, α = 90.00°, β = 90.00° and γ = 90.00°. The asymmetric unit holds Y at (0.000, 0.500, 0.000), Cr at (0.000, 0.000, 0.000), Sn at (0.500, 0.500, 0.500) and I at (0.000, 0.000, 0.500).

The value obtained for the formation energy without anion corrections is 313 meV per atom.


[7]
Computed, not measured: crystalline Ca2ScV at its relaxed geometry at the PBE level of DFT.

It has space group I-42d (No. 122), with a = 8.532 Å, b = 8.532 Å, c = 6.294 Å, α = 90.00°, β = 90.00° and γ = 90.00°. The asymmetric unit holds Ca at (0.225, 0.250, 0.125), Sc at (0.000, 0.000, 0.500) and V at (0.000, 0.000, 0.000).

As for the formation energy: 3.14 eV/f.u.


[8]
Computed, not measured: crystalline TcTePb2 at its relaxed geometry at the PBE level of DFT.

It has space group Cmmm (No. 65), with a = 6.585 Å, b = 8.594 Å, c = 3.651 Å, α = 90.00°, β = 90.00° and γ = 90.00°. The asymmetric unit holds Tc at (0.000, 0.000, 0.000), Te at (0.000, 0.500, 0.000) and Pb at (0.250, 0.250, 0.500).

The value obtained for the formation energy without anion corrections is 643 meV per atom.